# 1
This record from Alexandria describes a geometry-optimized VCo3Bi structure. The functional is PBE.

Cell lengths 4.346, 4.346, 4.346 Å; angles 90.00, 90.00, 90.00 degrees
Element x y z (fractional)
Co: 0.000 0.500 0.000
Co: 0.000 0.000 0.500
Co: 0.500 0.000 0.000
Bi: 0.500 0.500 0.500
V: 0.000 0.000 0.000

Output
Offset from the most stable computed form in eV/atom: 0.000
Total magnetization in Bohr magnetons per cell: 0.78
Space-group type: No. 221
Total energy in eV per atom: -5.9602
ρ in g/cm³: 8.84
Energy of formation from the pure elements in meV per atom: 903


# 2
This record from Alexandria describes a geometry-optimized Li2ScMn structure. The functional is PBE.

Cell lengths 4.613, 4.613, 4.613 Å; angles 60.00, 60.00, 60.00 degrees
Element x y z (fractional)
Sc: 0.000 0.000 0.000
Mn: 0.500 0.500 0.500
Li: 0.250 0.250 0.250
Li: 0.750 0.750 0.750

Output
Offset from the most stable computed form in eV/atom: 0.173
Total magnetization in Bohr magnetons per cell: 2.60
Space-group type: No. 225
Total energy in eV per atom: -4.5019
ρ in g/cm³: 2.72
Energy of formation from the pure elements in meV per atom: 330


# 3
This record from Alexandria describes a geometry-optimized Li2Cu8Rh structure. The functional is PBE.

Cell lengths 3.984, 6.250, 6.718 Å; angles 117.72, 107.25, 90.00 degrees
Element x y z (fractional)
Li: 0.205 0.705 0.411
Li: 0.795 0.295 0.589
Cu: 0.648 0.848 0.295
Cu: 0.352 0.553 0.705
Cu: 0.155 0.155 0.311
Cu: 0.000 0.293 0.000
Cu: 0.845 0.845 0.689
Cu: 0.648 0.447 0.295
Cu: 0.352 0.152 0.705
Cu: 0.000 0.707 0.000
Rh: 0.500 0.000 0.000

Output
Total magnetization in Bohr magnetons per cell: 0.00
Space-group type: No. 71
Total energy in eV per atom: -3.9306
ρ in g/cm³: 7.44
Energy of formation from the pure elements in meV per atom: 65


# 4
This record from Alexandria describes a geometry-optimized NaInIr2N structure. The functional is PBE.

Cell lengths 4.013, 5.339, 4.013 Å; angles 90.00, 90.00, 90.00 degrees
Element x y z (fractional)
Na: 0.500 0.500 0.500
N: 0.000 0.000 0.000
Ir: 0.000 0.000 0.500
Ir: 0.500 0.000 0.000
In: 0.000 0.500 0.000

Output
Total magnetization in Bohr magnetons per cell: 0.00
Space-group type: No. 123
Total energy in eV per atom: -5.5628
ρ in g/cm³: 10.36


# 5
This record from Alexandria describes a geometry-optimized Nd2InGa3Pt4 structure. The functional is PBE.

Cell lengths 4.181, 4.181, 11.465 Å; angles 90.00, 90.00, 90.00 degrees
Element x y z (fractional)
Nd: 0.500 0.000 0.242
Nd: 0.000 0.500 0.758
In: 0.500 0.500 0.500
Ga: 0.000 0.000 0.500
Ga: 0.500 0.000 0.872
Ga: 0.000 0.500 0.128
Pt: 0.500 0.500 0.000
Pt: 0.000 0.000 0.000
Pt: 0.500 0.000 0.654
Pt: 0.000 0.500 0.346

Output
Total magnetization in Bohr magnetons per cell: 0.00
Space-group type: No. 115
Total energy in eV per atom: -5.4596
ρ in g/cm³: 11.54
Energy of formation from the pure elements in meV per atom: -908


# 6
This record from Alexandria describes a geometry-optimized Be17AlCr structure. The functional is PBE.

Cell lengths 5.498, 5.498, 5.498 Å; angles 82.25, 82.25, 82.25 degrees
Element x y z (fractional)
Be: 0.306 0.997 0.695
Be: 0.695 0.306 0.997
Be: 0.997 0.695 0.306
Be: 0.306 0.695 0.997
Be: 0.997 0.306 0.695
Be: 0.695 0.997 0.306
Be: 0.348 0.832 0.348
Be: 0.348 0.348 0.832
Be: 0.832 0.348 0.348
Be: 0.657 0.154 0.657
Be: 0.657 0.657 0.154
Be: 0.154 0.657 0.657
Be: 0.994 0.501 0.994
Be: 0.994 0.994 0.501
Be: 0.501 0.994 0.994
Be: 0.897 0.897 0.897
Be: 0.100 0.100 0.100
Al: 0.352 0.352 0.352
Cr: 0.668 0.668 0.668

Output
Total magnetization in Bohr magnetons per cell: 0.78
Space-group type: No. 160
Total energy in eV per atom: -4.0505
ρ in g/cm³: 2.38
Energy of formation from the pure elements in meV per atom: -13


# 7
This record from Alexandria describes a geometry-optimized Mn4C structure. The functional is PBE.

Cell lengths 4.906, 4.906, 5.264 Å; angles 105.43, 105.43, 115.42 degrees
Element x y z (fractional)
Mn: 0.707 0.459 0.678
Mn: 0.781 0.030 0.322
Mn: 0.762 0.026 0.858
Mn: 0.168 0.903 0.142
Mn: 0.276 0.512 0.358
Mn: 0.153 0.918 0.642
Mn: 0.280 0.531 0.822
Mn: 0.709 0.457 0.178
C: 0.234 0.234 0.000
C: 0.484 0.984 0.500

Output
Offset from the most stable computed form in eV/atom: 0.016
Total magnetization in Bohr magnetons per cell: 0.05
Space-group type: No. 43
Total energy in eV per atom: -9.1637
ρ in g/cm³: 7.76
Energy of formation from the pure elements in meV per atom: 17


# 8
This record from Alexandria describes a geometry-optimized Rb3Na2PdF9 structure. The functional is PBE.

Cell lengths 6.262, 6.262, 7.666 Å; angles 90.00, 90.00, 120.00 degrees
Element x y z (fractional)
Rb: 0.333 0.667 0.722
Rb: 0.000 0.000 0.000
Rb: 0.667 0.333 0.278
Na: 0.333 0.667 0.161
Na: 0.667 0.333 0.839
Pd: 0.000 0.000 0.500
F: 0.852 0.148 0.646
F: 0.852 0.704 0.646
F: 0.296 0.148 0.646
F: 0.704 0.852 0.354
F: 0.148 0.296 0.354
F: 0.148 0.852 0.354
F: 0.500 0.000 0.000
F: 0.000 0.500 0.000
F: 0.500 0.500 0.000

Output
Total magnetization in Bohr magnetons per cell: 0.05
Space-group type: No. 164
Total energy in eV per atom: -4.1615
ρ in g/cm³: 3.70